Record 1
Computed, not measured: YScIn2 after structural relaxation at the PBE level of DFT.

Properties
VASP energy = -5.007 eV per atom
N(E_F) = 0.615 states/eV/atom
E_form = -169 kJ/mol of formula units

abc: 5.493 5.493 3.394
angles: 89.98 89.98 106.17
Atoms (fractional coordinates):
Sc 0.500 0.000 0.500
In 0.000 0.000 0.000
In 0.500 0.500 0.000
Y 0.000 0.500 0.500

---

Record 2
Computed, not measured: YSc3In4 after structural relaxation at the PBE level of DFT.

Properties
VASP energy = -4.982 eV per atom
N(E_F) = 0.711 states/eV/atom
E_form = -332 kJ/mol of formula units

abc: 5.361 6.781 10.363
angles: 90.00 90.00 90.00
Atoms (fractional coordinates):
In 0.500 0.240 0.500
In 0.500 0.760 0.000
In 0.113 0.760 0.750
In 0.887 0.760 0.250
In 0.113 0.240 0.750
In 0.500 0.240 0.000
In 0.887 0.240 0.250
In 0.500 0.760 0.500
Sc 0.594 0.500 0.750
Sc 0.385 0.000 0.250
Sc 0.000 0.000 0.000
Sc 0.615 0.000 0.750
Sc 0.000 0.000 0.500
Sc 0.406 0.500 0.250
Y 0.000 0.500 0.500
Y 0.000 0.500 0.000

---

Record 3
Computed, not measured: Y2ScIn after structural relaxation at the PBE level of DFT.

Properties
VASP energy = -5.681 eV per atom
N(E_F) = 1.398 states/eV/atom
E_form = -70 kJ/mol of formula units

abc: 3.506 4.692 6.678
angles: 90.00 90.00 90.00
Atoms (fractional coordinates):
In 0.000 0.000 0.505
Y 0.500 0.500 0.259
Y 0.000 0.000 0.989
Sc 0.500 0.500 0.747

---

Record 4
Computed, not measured: Y2ScIn after structural relaxation at the PBE level of DFT.

Properties
VASP energy = -5.638 eV per atom
N(E_F) = 1.252 states/eV/atom
E_form = -53 kJ/mol of formula units

abc: 3.505 3.505 10.905
angles: 80.75 80.75 60.00
Atoms (fractional coordinates):
In 0.667 0.667 0.000
Y 0.082 0.082 0.753
Y 0.251 0.251 0.247
Sc 0.500 0.500 0.500

---

Record 5
Computed, not measured: Y2ScIn after structural relaxation at the PBE level of DFT.

Properties
VASP energy = -5.624 eV per atom
N(E_F) = 0.902 states/eV/atom
E_form = -48 kJ/mol of formula units

abc: 11.039 11.039 11.039
angles: 18.06 18.06 18.06
Atoms (fractional coordinates):
Y 0.246 0.246 0.246
Y 0.003 0.003 0.003
In 0.497 0.497 0.497
Sc 0.754 0.754 0.754

---

Record 6
Computed, not measured: YScIn2 after structural relaxation at the PBE level of DFT.

Properties
VASP energy = -5.015 eV per atom
N(E_F) = 0.753 states/eV/atom
E_form = -172 kJ/mol of formula units

abc: 4.726 4.398 4.726
angles: 90.00 90.00 90.00
Atoms (fractional coordinates):
In 0.000 0.125 0.875
In 0.500 0.125 0.375
Y 0.500 0.625 0.875
Sc 0.000 0.625 0.375

---

Record 7
Computed, not measured: YScIn2 after structural relaxation at the PBE level of DFT.

Properties
VASP energy = -4.891 eV per atom
N(E_F) = 0.843 states/eV/atom
E_form = -125 kJ/mol of formula units

abc: 5.255 5.255 6.053
angles: 76.85 76.85 40.81
Atoms (fractional coordinates):
In 0.495 0.495 0.528
In 0.005 0.005 0.972
Y 0.250 0.250 0.250
Sc 0.750 0.750 0.750

---

Record 8
Computed, not measured: Y4ScIn after structural relaxation at the PBE level of DFT.

Properties
VASP energy = -5.806 eV per atom
N(E_F) = 1.183 states/eV/atom
E_form = 9 kJ/mol of formula units

abc: 3.475 9.295 5.683
angles: 90.00 90.00 90.00
Atoms (fractional coordinates):
Sc 0.500 0.500 0.500
Y 0.000 0.813 0.500
Y 0.500 0.693 0.000
Y 0.000 0.187 0.500
Y 0.500 0.307 0.000
In 0.000 0.000 0.000

---

Record 9
Computed, not measured: YSc5In2 after structural relaxation at the PBE level of DFT.

Properties
VASP energy = -5.725 eV per atom
N(E_F) = 1.216 states/eV/atom
E_form = -213 kJ/mol of formula units

abc: 4.578 6.482 12.981
angles: 90.00 90.00 90.00
Atoms (fractional coordinates):
Sc 0.500 0.746 0.628
Sc 0.500 0.754 0.128
Sc 0.000 0.997 0.754
Sc 0.000 0.497 0.746
Sc 0.000 0.000 0.000
Sc 0.000 0.003 0.246
Sc 0.000 0.503 0.254
Sc 0.000 0.500 0.500
Sc 0.500 0.246 0.872
Sc 0.500 0.254 0.372
In 0.500 0.253 0.627
In 0.500 0.753 0.873
In 0.500 0.247 0.127
In 0.500 0.747 0.373
Y 0.000 0.000 0.500
Y 0.000 0.500 0.000

---

Record 10
Computed, not measured: Y7ScIn4 after structural relaxation at the PBE level of DFT.

Properties
VASP energy = -5.336 eV per atom
N(E_F) = 1.173 states/eV/atom
E_form = -145 kJ/mol of formula units

abc: 5.612 9.126 7.868
angles: 73.04 69.11 72.09
Atoms (fractional coordinates):
Sc 0.000 0.000 0.000
Y 0.735 0.315 0.214
Y 0.500 0.000 0.000
Y 0.933 0.402 0.732
Y 0.265 0.685 0.786
Y 0.207 0.120 0.465
Y 0.067 0.598 0.268
Y 0.793 0.880 0.535
In 0.321 0.339 0.020
In 0.444 0.740 0.372
In 0.556 0.260 0.628
In 0.679 0.661 0.980

---

Record 11
Computed, not measured: Y2ScIn after structural relaxation at the PBE level of DFT.

Properties
VASP energy = -5.741 eV per atom
N(E_F) = 1.340 states/eV/atom
E_form = -93 kJ/mol of formula units

abc: 5.918 5.918 4.672
angles: 66.77 66.77 46.52
Atoms (fractional coordinates):
Sc 0.250 0.250 0.250
Y 0.000 0.000 0.000
Y 0.500 0.500 0.500
In 0.750 0.750 0.750

---

Record 12
Computed, not measured: YSc5In3 after structural relaxation at the PBE level of DFT.

Properties
VASP energy = -5.519 eV per atom
N(E_F) = 1.174 states/eV/atom
E_form = -322 kJ/mol of formula units

abc: 6.390 8.835 8.836
angles: 120.00 90.00 90.00
Atoms (fractional coordinates):
Sc 0.500 0.333 0.667
Sc 0.250 0.000 0.662
Sc 0.750 0.000 0.338
Sc 0.250 0.338 0.338
Sc 0.250 0.663 0.000
Sc 0.000 0.333 0.667
Sc 0.750 0.662 0.662
Sc 0.500 0.667 0.333
Sc 0.000 0.667 0.333
Sc 0.750 0.337 0.000
Y 0.500 0.000 0.000
Y 0.000 0.000 0.000
In 0.750 0.665 0.000
In 0.750 0.335 0.335
In 0.250 0.335 0.000
In 0.250 0.000 0.335
In 0.750 0.000 0.665
In 0.250 0.665 0.665

---

Record 13
Computed, not measured: Y4ScIn after structural relaxation at the PBE level of DFT.

Properties
VASP energy = -5.581 eV per atom
N(E_F) = 1.251 states/eV/atom
E_form = 139 kJ/mol of formula units

abc: 6.344 6.344 6.344
angles: 60.00 60.00 60.00
Atoms (fractional coordinates):
Y 0.374 0.374 0.374
Y 0.877 0.374 0.374
Y 0.374 0.877 0.374
Y 0.374 0.374 0.877
In 0.750 0.750 0.750
Sc 0.000 0.000 0.000

---

Record 14
Computed, not measured: Y2ScIn after structural relaxation at the PBE level of DFT.

Properties
VASP energy = -5.689 eV per atom
N(E_F) = 1.482 states/eV/atom
E_form = -73 kJ/mol of formula units

abc: 7.647 5.754 3.496
angles: 90.03 62.74 121.69
Atoms (fractional coordinates):
Y 0.500 0.000 0.500
Y 0.000 0.000 0.000
Sc 0.500 0.500 0.000
In 0.000 0.500 0.500

---

Record 15
Computed, not measured: YScIn2 after structural relaxation at the PBE level of DFT.

Properties
VASP energy = -4.680 eV per atom
N(E_F) = 0.901 states/eV/atom
E_form = -43 kJ/mol of formula units

abc: 10.663 10.663 10.663
angles: 18.48 18.48 18.48
Atoms (fractional coordinates):
In 0.997 0.997 0.997
In 0.250 0.250 0.250
Sc 0.502 0.502 0.502
Y 0.751 0.751 0.751

---

Record 16
Computed, not measured: YScIn2 after structural relaxation at the PBE level of DFT.

Properties
VASP energy = -4.663 eV per atom
N(E_F) = 1.058 states/eV/atom
E_form = -37 kJ/mol of formula units

abc: 8.148 8.148 6.632
angles: 52.10 52.10 90.00
Atoms (fractional coordinates):
Y 0.750 0.250 0.500
Y 0.000 0.000 0.000
Sc 0.500 0.500 0.000
Sc 0.250 0.750 0.500
In 0.141 0.625 0.250
In 0.875 0.859 0.750
In 0.375 0.391 0.750
In 0.609 0.125 0.250

---

Record 17
Computed, not measured: Y2ScIn after structural relaxation at the PBE level of DFT.

Properties
VASP energy = -5.737 eV per atom
N(E_F) = 1.434 states/eV/atom
E_form = -91 kJ/mol of formula units

abc: 3.620 4.548 6.671
angles: 90.00 90.00 90.00
Atoms (fractional coordinates):
Sc 0.500 0.500 0.750
Y 0.000 0.000 0.003
Y 0.000 0.000 0.497
In 0.500 0.500 0.250

---

Record 18
Computed, not measured: Y3ScIn4 after structural relaxation at the PBE level of DFT.

Properties
VASP energy = -5.060 eV per atom
N(E_F) = 0.583 states/eV/atom
E_form = -367 kJ/mol of formula units

abc: 3.683 3.683 15.144
angles: 90.00 90.00 90.00
Atoms (fractional coordinates):
Y 0.500 0.500 0.500
Y 0.500 0.500 0.760
Y 0.500 0.500 0.240
In 0.000 0.000 0.889
In 0.000 0.000 0.370
In 0.000 0.000 0.630
In 0.000 0.000 0.111
Sc 0.500 0.500 0.000

---

Record 19
Computed, not measured: Y2Sc2In3 after structural relaxation at the PBE level of DFT.

Properties
VASP energy = -5.151 eV per atom
N(E_F) = 0.997 states/eV/atom
E_form = -217 kJ/mol of formula units

abc: 4.672 3.259 11.708
angles: 90.00 78.49 90.00
Atoms (fractional coordinates):
Sc 0.711 0.500 0.578
Sc 0.289 0.500 0.422
In 0.842 0.000 0.316
In 0.000 0.000 0.000
In 0.158 0.000 0.684
Y 0.426 0.500 0.149
Y 0.574 0.500 0.851

---

Record 20
Computed, not measured: YScIn2 after structural relaxation at the PBE level of DFT.

Properties
VASP energy = -4.949 eV per atom
N(E_F) = 0.953 states/eV/atom
E_form = -147 kJ/mol of formula units

abc: 6.148 6.148 4.842
angles: 66.76 66.76 37.45
Atoms (fractional coordinates):
In 0.733 0.733 0.767
In 0.015 0.015 0.986
Y 0.255 0.255 0.245
Sc 0.498 0.498 0.503

---

Record 21
Computed, not measured: Y6ScIn3 after structural relaxation at the PBE level of DFT.

Properties
VASP energy = -5.623 eV per atom
N(E_F) = 1.055 states/eV/atom
E_form = -279 kJ/mol of formula units

abc: 5.273 9.729 11.558
angles: 106.24 90.00 90.00
Atoms (fractional coordinates):
In 0.250 0.378 0.787
In 0.750 0.221 0.029
In 0.250 0.779 0.971
In 0.750 0.463 0.610
In 0.250 0.537 0.390
In 0.750 0.622 0.213
Y 0.750 0.549 0.909
Y 0.750 0.878 0.820
Y 0.250 0.122 0.180
Y 0.250 0.655 0.681
Y 0.250 0.451 0.091
Y 0.750 0.345 0.319
Y 0.250 0.109 0.884
Y 0.750 0.891 0.116
Y 0.250 0.253 0.499
Y 0.250 0.826 0.299
Y 0.750 0.174 0.701
Y 0.750 0.747 0.501
Sc 0.750 0.039 0.405
Sc 0.250 0.961 0.595

---

Record 22
Computed, not measured: YScIn2 after structural relaxation at the PBE level of DFT.

Properties
VASP energy = -4.572 eV per atom
N(E_F) = 1.241 states/eV/atom
E_form = -1 kJ/mol of formula units

abc: 5.246 5.246 5.246
angles: 60.00 60.00 60.00
Atoms (fractional coordinates):
In 0.250 0.250 0.250
In 0.000 0.000 0.000
Y 0.750 0.750 0.750
Sc 0.500 0.500 0.500

---

Record 23
Computed, not measured: Y2ScIn after structural relaxation at the PBE level of DFT.

Properties
VASP energy = -5.629 eV per atom
N(E_F) = 1.025 states/eV/atom
E_form = -50 kJ/mol of formula units

abc: 11.015 11.015 11.015
angles: 18.18 18.18 18.18
Atoms (fractional coordinates):
Y 0.999 0.999 0.999
Y 0.501 0.501 0.501
In 0.250 0.250 0.250
Sc 0.750 0.750 0.750

---

Record 24
Computed, not measured: Y4ScIn3 after structural relaxation at the PBE level of DFT.

Properties
VASP energy = -5.417 eV per atom
N(E_F) = 1.245 states/eV/atom
E_form = -283 kJ/mol of formula units

abc: 5.329 5.329 9.357
angles: 73.46 73.46 60.00
Atoms (fractional coordinates):
In 0.500 0.500 0.500
In 0.740 0.740 0.779
In 0.260 0.260 0.221
Y 0.620 0.620 0.141
Y 0.872 0.872 0.383
Y 0.128 0.128 0.617
Y 0.380 0.380 0.859
Sc 0.000 0.000 0.000

---

Record 25
Computed, not measured: YSc5In6 after structural relaxation at the PBE level of DFT.

Properties
VASP energy = -4.982 eV per atom
N(E_F) = 0.686 states/eV/atom
E_form = -505 kJ/mol of formula units

abc: 4.618 8.496 8.496
angles: 109.10 105.79 105.79
Atoms (fractional coordinates):
In 0.253 0.421 0.084
In 0.756 0.256 0.256
In 0.253 0.084 0.421
In 0.244 0.744 0.744
In 0.747 0.916 0.579
In 0.747 0.579 0.916
Sc 0.000 0.668 0.332
Sc 0.000 0.332 0.668
Sc 0.500 0.500 0.500
Sc 0.500 0.831 0.169
Sc 0.500 0.169 0.831
Y 0.000 0.000 0.000